# 1
Below is a relaxed structure of BaMg3Al, with properties calculated at the GGA-PBE level.

Calculated values
Its energy above the lowest structure with this stoichiometry is 6.691 eV/f.u. As for the energy of formation from the pure elements: 1.262 eV per atom. Its total magnetization is 1.3 μB per cell.

abc: 6.4474 6.4474 6.4474
angles: 90.00 90.00 90.00
Space group Pm-3m (No. 221)
Asymmetric unit:
1 Ba 0.0000 0.0000 0.0000 (multiplicity 1)
2 Mg 0.0000 0.0000 0.5000 (multiplicity 3)
3 Al 0.5000 0.5000 0.5000 (multiplicity 1)

***

# 2
Below is a relaxed structure of Tb4Ho8Zr, with properties calculated at the GGA-PBE level.

Calculated values
As for the energy of formation from the pure elements: 0.538 eV per atom. Its total magnetization is 2.6 μB per cell.

abc: 10.8144 10.8144 13.1943
angles: 90.00 90.00 120.00
Space group R-3m (No. 166, hexagonal axes)
Asymmetric unit:
1 Tb 0.0000 0.0000 0.0000 (multiplicity 3)
2 Tb 0.0000 0.5000 0.0000 (multiplicity 9)
3 Ho 0.0000 0.0000 0.2444 (multiplicity 6)
4 Ho 0.0068 0.5034 0.7474 (multiplicity 18)
5 Zr 0.0000 0.0000 0.5000 (multiplicity 3)

***

# 3
Below is a relaxed structure of BaSr12Sn4N3, with properties calculated at the GGA-PBE level.

Calculated values
Its total energy is -3.576 eV per atom. Its total magnetization is 1.7 μB per cell.

abc: 10.8663 10.8663 10.8663
angles: 90.00 90.00 90.00
Space group Im-3m (No. 229)
Asymmetric unit:
1 Ba 0.0000 0.0000 0.0000 (multiplicity 2)
2 Sr 0.0000 0.0000 0.2854 (multiplicity 12)
3 Sr 0.0000 0.2500 0.5000 (multiplicity 12)
4 Sn 0.2500 0.2500 0.2500 (multiplicity 8)
5 N 0.0000 0.0000 0.5000 (multiplicity 6)

***

# 4
Below is a relaxed structure of TaCo2Ge, with properties calculated at the GGA-PBE level.

Calculated values
As for the energy of formation from the pure elements: -0.157 eV per atom. Its total magnetization is 1.1 μB per cell.

abc: 3.8923 3.8923 3.5077
angles: 90.00 90.00 90.00
Space group P4/mmm (No. 123)
Asymmetric unit:
1 Ta 0.0000 0.0000 0.0000 (multiplicity 1)
2 Co 0.0000 0.5000 0.5000 (multiplicity 2)
3 Ge 0.5000 0.5000 0.0000 (multiplicity 1)